{
  "formula": "SnHRh3",
  "functional": "GGA-PBE",
  "state": "relaxed",
  "cell": [[2.782, -4.493, 0.000], [2.782, 4.493, 0.000], [0.000, 0.000, 5.504]],
  "species": ["Sn", "Sn", "H", "H", "Rh", "Rh", "Rh", "Rh", "Rh", "Rh"],
  "fractional_positions": [[0.054, 0.946, 0.750], [0.946, 0.054, 0.250], [0.352, 0.648, 0.250], [0.648, 0.352, 0.750], [0.032, 0.450, 0.750], [0.450, 0.032, 0.250], [0.500, 0.500, 0.000], [0.500, 0.500, 0.500], [0.550, 0.968, 0.750], [0.968, 0.550, 0.250]],
  "mass_density_g_cm3": 10.342,
  "e_above_lowest_polymorph_ev_per_atom": 0.3381,
  "crystal_system": "orthorhombic",
  "magmom_total_mub_per_fu": 0.0
}

***

{
  "formula": "Sn3H2Rh6",
  "functional": "GGA-PBE",
  "state": "relaxed",
  "cell": [[-1.957, 1.957, 10.592], [1.957, -1.957, 10.592], [1.957, 1.957, -10.592]],
  "species": ["Sn", "Sn", "Sn", "H", "H", "Rh", "Rh", "Rh", "Rh", "Rh", "Rh"],
  "fractional_positions": [[0.000, 0.000, 0.000], [0.181, 0.181, 0.000], [0.819, 0.819, 0.000], [0.419, 0.419, 0.000], [0.581, 0.581, 0.000], [0.091, 0.591, 0.500], [0.303, 0.303, 0.000], [0.409, 0.909, 0.500], [0.591, 0.091, 0.500], [0.697, 0.697, 0.000], [0.909, 0.409, 0.500]],
  "mass_density_g_cm3": 9.985,
  "crystal_system": "tetragonal",
  "magmom_total_mub_per_fu": 0.0,
  "e_tot_ev_per_atom": -5.937
}

***

{
  "formula": "SnHRh2",
  "functional": "GGA-PBE",
  "state": "relaxed",
  "cell": [[-3.066, 3.066, 2.801], [3.066, -3.066, 2.801], [3.066, 3.066, -2.801]],
  "species": ["Sn", "Sn", "H", "H", "Rh", "Rh", "Rh", "Rh"],
  "fractional_positions": [[0.000, 0.000, 0.000], [0.750, 0.250, 0.500], [0.250, 0.750, 0.500], [0.500, 0.500, 0.000], [0.228, 0.625, 0.103], [0.375, 0.478, 0.603], [0.522, 0.125, 0.897], [0.875, 0.772, 0.397]],
  "mass_density_g_cm3": 10.265,
  "e_above_lowest_polymorph_ev_per_atom": 0.0000,
  "crystal_system": "tetragonal",
  "magmom_total_mub_per_fu": 0.0
}

***

{
  "formula": "SnH3Rh",
  "functional": "GGA-PBE",
  "state": "relaxed",
  "cell": [[3.701, 0.000, 0.000], [0.000, 3.701, 0.000], [0.000, 0.000, 3.701]],
  "species": ["Sn", "H", "H", "H", "Rh"],
  "fractional_positions": [[0.000, 0.000, 0.000], [0.000, 0.500, 0.500], [0.500, 0.000, 0.500], [0.500, 0.500, 0.000], [0.500, 0.500, 0.500]],
  "mass_density_g_cm3": 7.356,
  "e_above_lowest_polymorph_ev_per_atom": 0.0813,
  "crystal_system": "cubic",
  "magmom_total_mub_per_fu": 0.0
}